Record 1
CrPSeN2, relaxed, DFT PBE; E = -0.4634 Ry per atom; calculated volume = 81.4 Å³/cell
1.0
-1.010 -1.947 -2.596
-0.594 -2.562 2.153
-6.617 2.267 0.873
Cr P N Se
1 1 2 1
Direct
0.500 0.500 0.500 Cr
0.000 0.000 0.000 P
0.000 0.500 0.000 N
0.500 0.000 0.000 N
0.000 0.000 0.500 Se



Record 2
PuZr4Sc9, relaxed, DFT PBE; E = -0.5411 Ry per atom; E_form = 0.174 eV per atom; calculated volume = 683.5 Å³/cell
1.0
-3.932 -1.916 8.958
4.442 -7.704 0.302
3.724 7.412 3.220
Sc Zr Pu
18 8 2
Direct
0.250 0.460 0.920 Sc
0.466 0.795 0.590 Sc
0.966 0.205 0.410 Sc
0.750 0.540 0.080 Sc
0.534 0.205 0.795 Sc
0.966 0.590 0.795 Sc
0.034 0.795 0.590 Sc
0.034 0.410 0.205 Sc
0.250 0.080 0.540 Sc
0.534 0.205 0.410 Sc
0.750 0.920 0.460 Sc
0.534 0.590 0.795 Sc
0.750 0.540 0.460 Sc
0.966 0.205 0.795 Sc
0.250 0.460 0.540 Sc
0.466 0.795 0.205 Sc
0.466 0.410 0.205 Sc
0.034 0.795 0.205 Sc
0.250 0.114 0.229 Zr
0.250 0.771 0.886 Zr
0.750 0.886 0.771 Zr
0.000 0.000 0.000 Zr
0.750 0.886 0.114 Zr
0.250 0.114 0.886 Zr
0.750 0.229 0.114 Zr
0.500 0.000 0.000 Zr
0.750 0.333 0.667 Pu
0.250 0.667 0.333 Pu



Record 3
TaInSi, relaxed, DFT PBE; E = -0.4924 Ry per atom; calculated volume = 245.1 Å³/cell
1.0
3.059 0.000 0.003
0.000 3.752 0.000
-3.033 0.000 21.345
In Si Ta
4 4 4
Direct
0.261 0.500 0.349 In
0.128 0.000 0.711 In
0.128 0.500 0.211 In
0.261 0.000 0.849 In
0.991 0.500 0.074 Si
0.991 0.000 0.574 Si
0.359 0.000 0.443 Si
0.359 0.500 0.943 Si
0.904 0.500 0.489 Ta
0.904 0.000 0.989 Ta
0.539 0.000 0.122 Ta
0.539 0.500 0.622 Ta



Record 4
CaGaSn, relaxed, DFT PBE; E = -0.2475 Ry per atom; E_form = -0.356 eV per atom; calculated volume = 77.0 Å³/cell
1.0
3.748 0.000 0.000
0.000 3.748 0.000
-1.874 -1.874 5.485
Sn Ga Ca
1 1 1
Direct
0.308 0.308 0.617 Sn
0.688 0.688 0.376 Ga
0.004 0.004 0.008 Ca



Record 5
Fe4IrPb, relaxed, DFT PBE; E = -0.5477 Ry per atom; E_form = 0.285 eV per atom; calculated volume = 85.6 Å³/cell
1.0
-1.647 1.079 4.539
-1.198 4.659 1.154
-4.741 1.239 0.682
Fe Pb Ir
4 1 1
Direct
0.376 0.376 0.376 Fe
0.873 0.376 0.376 Fe
0.376 0.873 0.376 Fe
0.376 0.376 0.873 Fe
0.000 0.000 0.000 Pb
0.750 0.750 0.750 Ir



Record 6
Sr2WSe, relaxed, DFT PBE; E = -0.3485 Ry per atom; calculated volume = 112.0 Å³/cell
1.0
-2.965 -1.369 1.194
1.572 -3.079 0.375
2.424 2.288 8.639
Se Sr W
1 2 1
Direct
0.500 0.500 0.684 Se
0.000 0.000 0.925 Sr
0.500 0.500 0.319 Sr
0.000 0.000 0.572 W



Record 7
Ho2FeC2, relaxed, DFT PBE; E = -0.5520 Ry per atom; E_form = -0.297 eV per atom; calculated volume = 153.6 Å³/cell
1.0
-4.499 0.220 -2.178
-0.099 -1.329 5.815
1.161 6.294 -1.761
Ho Fe C
4 2 4
Direct
0.682 0.364 0.611 Ho
0.041 0.082 0.783 Ho
0.318 0.636 0.389 Ho
0.959 0.918 0.217 Ho
0.629 0.259 0.131 Fe
0.371 0.741 0.869 Fe
0.817 0.633 0.393 C
0.183 0.367 0.607 C
0.484 0.969 0.202 C
0.516 0.031 0.798 C



Record 8
Sm8AlNi2, relaxed, DFT PBE; E = -0.3614 Ry per atom; E_form = -0.094 eV per atom; calculated volume = 307.8 Å³/cell
1.0
-3.198 0.071 4.384
-1.380 -7.588 -2.279
7.034 1.176 3.717
Sm Ni Al
8 2 1
Direct
0.430 0.675 0.926 Sm
0.570 0.331 0.080 Sm
0.000 0.759 0.247 Sm
0.809 0.614 0.614 Sm
0.570 0.080 0.331 Sm
0.000 0.247 0.759 Sm
0.430 0.926 0.675 Sm
0.191 0.391 0.391 Sm
0.500 0.305 0.701 Ni
0.500 0.701 0.305 Ni
0.000 0.003 0.003 Al



Record 9
CaAgGeAu, relaxed, DFT PBE; E = -0.2584 Ry per atom; E_form = -0.328 eV per atom; calculated volume = 82.5 Å³/cell
1.0
-1.992 1.283 4.273
-0.250 -3.239 3.650
2.827 0.545 3.947
Ca Au Ge Ag
1 1 1 1
Direct
0.750 0.750 0.750 Ca
0.000 0.000 0.000 Au
0.250 0.250 0.250 Ge
0.500 0.500 0.500 Ag



Record 10
Na5Cd2Hg12, relaxed, DFT PBE; E = -0.0573 Ry per atom; E_form = -0.146 eV per atom; calculated volume = 497.4 Å³/cell
1.0
7.194 0.114 0.284
-0.300 8.216 4.329
-0.278 0.639 8.740
Hg Na Cd
12 5 2
Direct
0.349 0.399 0.756 Hg
0.307 0.453 0.095 Hg
0.092 0.105 0.791 Hg
0.693 0.547 0.905 Hg
0.759 0.365 0.667 Hg
0.908 0.895 0.209 Hg
0.651 0.155 0.244 Hg
0.759 0.968 0.667 Hg
0.241 0.032 0.333 Hg
0.241 0.635 0.333 Hg
0.651 0.601 0.244 Hg
0.349 0.845 0.756 Hg
0.500 0.000 0.000 Na
0.964 0.314 0.371 Na
0.564 0.751 0.497 Na
0.036 0.686 0.629 Na
0.436 0.249 0.503 Na
0.000 0.718 0.000 Cd
0.000 0.282 0.000 Cd



Record 11
Rb2InSb2Pb, relaxed, DFT PBE; E = -0.2258 Ry per atom; calculated volume = 489.7 Å³/cell
1.0
-0.013 6.054 -5.111
-2.043 -4.771 -5.647
-6.740 0.734 7.027
Sb Rb Pb In
4 4 2 2
Direct
0.672 0.406 0.812 Sb
0.328 0.594 0.188 Sb
0.860 0.094 0.188 Sb
0.140 0.906 0.812 Sb
0.070 0.331 0.661 Rb
0.591 0.831 0.661 Rb
0.930 0.669 0.339 Rb
0.409 0.169 0.339 Rb
0.500 0.250 0.000 Pb
0.500 0.750 0.000 Pb
0.000 0.250 0.000 In
0.000 0.750 0.000 In



Record 12
CaNi3Se, relaxed, DFT PBE; E = -0.2301 Ry per atom; calculated volume = 95.8 Å³/cell
1.0
4.576 0.000 0.000
0.000 4.576 0.000
0.000 0.000 4.576
Ni Ca Se
3 1 1
Direct
0.500 0.000 0.000 Ni
0.000 0.500 0.000 Ni
0.000 0.000 0.500 Ni
0.000 0.000 0.000 Ca
0.500 0.500 0.500 Se



Record 13
Ca2SnP2, relaxed, DFT PBE; E = -0.3308 Ry per atom; E_form = -0.735 eV per atom; calculated volume = 229.2 Å³/cell
1.0
-2.601 0.873 -7.108
-6.641 -3.124 2.047
-1.389 3.572 0.947
P Ca Sn
4 4 2
Direct
0.839 0.661 0.000 P
0.339 0.839 0.000 P
0.661 0.161 0.000 P
0.161 0.339 0.000 P
0.648 0.852 0.500 Ca
0.852 0.352 0.500 Ca
0.352 0.148 0.500 Ca
0.148 0.648 0.500 Ca
0.000 0.000 0.000 Sn
0.500 0.500 0.000 Sn



Record 14
Cs3AgGe2I9, relaxed, DFT PBE; E = -0.1974 Ry per atom; calculated volume = 629.2 Å³/cell
1.0
-8.205 0.273 -1.800
5.072 -5.157 -4.280
-1.757 -7.439 6.882
I Ge Ag Cs
9 2 1 3
Direct
0.832 0.168 0.668 I
0.000 0.500 0.000 I
0.832 0.664 0.668 I
0.336 0.168 0.668 I
0.168 0.336 0.332 I
0.500 0.500 0.000 I
0.664 0.832 0.332 I
0.168 0.832 0.332 I
0.500 0.000 0.000 I
0.333 0.667 0.175 Ge
0.667 0.333 0.825 Ge
0.000 0.000 0.500 Ag
0.000 0.000 0.000 Cs
0.667 0.333 0.333 Cs
0.333 0.667 0.667 Cs



Record 15
Li2MgAu, relaxed, DFT PBE; E = -0.1760 Ry per atom; E_form = -0.219 eV per atom; calculated volume = 74.9 Å³/cell
1.0
-6.779 5.685 3.255
-7.936 5.064 0.495
-8.426 3.147 2.824
Mg Li Au
1 2 1
Direct
0.250 0.250 0.250 Mg
0.490 0.490 0.490 Li
0.010 0.010 0.010 Li
0.750 0.750 0.750 Au



Record 16
InPPt2, relaxed, DFT PBE; E = -0.3846 Ry per atom; E_form = -0.176 eV per atom; calculated volume = 76.0 Å³/cell
1.0
-0.468 -2.967 7.031
-3.292 -4.195 5.479
-0.253 -5.760 5.021
Pt P In
2 1 1
Direct
0.256 0.256 0.256 Pt
0.010 0.010 0.010 Pt
0.730 0.730 0.730 P
0.504 0.504 0.504 In



Record 17
PuMnBi, relaxed, DFT PBE; E = -0.6583 Ry per atom; E_form = 0.171 eV per atom; calculated volume = 297.6 Å³/cell
1.0
5.886 0.000 0.000
0.000 6.433 0.000
0.000 0.000 7.861
Mn Bi Pu
4 4 4
Direct
0.836 0.179 0.250 Mn
0.836 0.821 0.750 Mn
0.336 0.179 0.250 Mn
0.336 0.821 0.750 Mn
0.586 0.863 0.435 Bi
0.086 0.863 0.065 Bi
0.086 0.137 0.565 Bi
0.586 0.137 0.935 Bi
0.585 0.397 0.583 Pu
0.085 0.603 0.417 Pu
0.085 0.397 0.917 Pu
0.585 0.603 0.083 Pu



Record 18
TcSbCl2, relaxed, DFT PBE; E = -0.3006 Ry per atom; calculated volume = 81.6 Å³/cell
1.0
-4.031 -2.683 -0.539
1.849 -2.013 -4.033
2.500 -0.150 4.179
Tc Sb Cl
1 1 2
Direct
0.750 0.250 0.500 Tc
0.500 0.500 0.000 Sb
0.000 0.000 0.000 Cl
0.250 0.750 0.500 Cl



Record 19
LiSb5, relaxed, DFT PBE; E = -0.2582 Ry per atom; calculated volume = 190.8 Å³/cell
1.0
3.275 -5.672 0.000
3.275 5.672 0.000
0.000 0.000 5.135
Li Sb
1 5
Direct
0.000 0.000 0.000 Li
0.667 0.333 0.000 Sb
0.333 0.667 0.000 Sb
0.500 0.500 0.500 Sb
0.500 0.000 0.500 Sb
0.000 0.500 0.500 Sb



Record 20
Sm4FeS7, relaxed, DFT PBE; E = -0.4653 Ry per atom; calculated volume = 559.1 Å³/cell
1.0
4.853 -8.405 0.000
4.853 8.405 0.000
0.000 0.000 6.853
S Fe Sm
14 2 8
Direct
0.483 0.928 0.466 S
0.555 0.483 0.966 S
0.928 0.445 0.966 S
0.667 0.333 0.562 S
0.107 0.235 0.831 S
0.445 0.517 0.466 S
0.128 0.893 0.831 S
0.235 0.128 0.331 S
0.893 0.765 0.331 S
0.333 0.667 0.062 S
0.517 0.072 0.966 S
0.872 0.107 0.331 S
0.072 0.555 0.466 S
0.765 0.872 0.831 S
0.000 0.000 0.525 Fe
0.000 0.000 0.025 Fe
0.333 0.667 0.679 Sm
0.836 0.624 0.726 Sm
0.376 0.212 0.726 Sm
0.624 0.788 0.226 Sm
0.788 0.164 0.726 Sm
0.667 0.333 0.179 Sm
0.164 0.376 0.226 Sm
0.212 0.836 0.226 Sm



Record 21
CeYTeIr, relaxed, DFT PBE; E = -0.5247 Ry per atom; calculated volume = 109.9 Å³/cell
1.0
-1.149 3.670 1.519
-1.376 -3.484 1.751
7.099 -1.324 2.945
Ce Ir Y Te
1 1 1 1
Direct
0.104 0.950 0.069 Ce
0.305 0.551 0.871 Ir
0.497 0.146 0.658 Y
0.972 0.384 0.371 Te



Record 22
Ca3Tb2NbN6, relaxed, DFT PBE; E = -0.5484 Ry per atom; calculated volume = 171.1 Å³/cell
1.0
-1.836 -5.620 0.150
4.263 1.622 -3.765
3.092 0.166 5.124
N Ca Tb Nb
6 3 2 1
Direct
0.074 0.380 0.222 N
0.768 0.768 0.219 N
0.232 0.232 0.781 N
0.380 0.074 0.222 N
0.620 0.926 0.778 N
0.926 0.620 0.778 N
0.836 0.164 0.500 Ca
0.164 0.836 0.500 Ca
0.500 0.500 0.500 Ca
0.667 0.333 0.000 Tb
0.333 0.667 0.000 Tb
0.000 0.000 0.000 Nb